# 1
Computed, not measured: crystalline ScBeN2F at its relaxed geometry at the GGA-PBE level of DFT.

Raw total energy, Ha/atom: -0.2447
Crystal system: tetragonal
Polymorph energy (0 for the lowest one), meV per atom: 0
Total magnetization, μB/cell: 0.0
Energy relative to the elements, uncorrected, meV/atom: -943

Cell: 3.4457 3.4457 3.7116 Å, 90.00 90.00 90.00°
Space group P4/mmm (No. 123)
Unique sites:
Sc (0.0000, 0.0000, 0.0000)
Be (0.5000, 0.5000, 0.5000)
N (0.0000, 0.5000, 0.5000)
F (0.5000, 0.5000, 0.0000)

=====

# 2
Computed, not measured: crystalline ScBeN2F at its relaxed geometry at the GGA-PBE level of DFT.

Raw total energy, Ha/atom: -0.2061
Crystal system: tetragonal
Polymorph energy (0 for the lowest one), meV per atom: 1049
Total magnetization, μB/cell: 0.7
Energy relative to the elements, uncorrected, meV/atom: 107

Cell: 4.1462 4.1462 3.9293 Å, 90.00 90.00 90.00°
Space group P4/mmm (No. 123)
Unique sites:
Sc (0.0000, 0.0000, 0.0000)
Be (0.5000, 0.5000, 0.5000)
N (0.0000, 0.5000, 0.0000)
F (0.0000, 0.0000, 0.5000)

=====

# 3
Computed, not measured: crystalline BeSeNF2 at its relaxed geometry at the GGA-PBE level of DFT.

Raw total energy, Ha/atom: -0.1268
Crystal system: tetragonal
Polymorph energy (0 for the lowest one), meV per atom: 1412
Total magnetization, μB/cell: 0.9
Energy relative to the elements, uncorrected, meV/atom: 405

Cell: 4.4774 4.4774 3.6666 Å, 90.00 90.00 90.00°
Space group P4/mmm (No. 123)
Unique sites:
Be (0.0000, 0.0000, 0.0000)
Se (0.5000, 0.5000, 0.5000)
N (0.5000, 0.5000, 0.0000)
F (0.0000, 0.5000, 0.5000)